1.
{
  "formula": "SmV2GaO8",
  "functional": "GGA+U",
  "state": "optimized geometry",
  "final_energy_ev_per_atom": -7.2702,
  "n_ef_per_ev_cell": 0.00,
  "lattice_angstrom": [[-5.013, -2.449, -1.846], [4.076, -3.832, 1.800], [-1.339, 3.377, 4.619]],
  "species": ["Ga", "O", "V", "O", "O", "O", "O", "Sm", "V", "O", "O", "O"],
  "fractional_positions": [[0.000, 0.000, 0.000], [0.317, 0.134, 0.817], [0.500, 0.500, 0.000], [0.919, 0.619, 0.699], [0.919, 0.220, 0.301], [0.500, 0.683, 0.817], [0.381, 0.081, 0.301], [0.250, 0.750, 0.500], [0.750, 0.250, 0.500], [0.317, 0.500, 0.183], [0.866, 0.683, 0.183], [0.780, 0.081, 0.699]]
}

---

2.
{
  "formula": "SmGa2WO8",
  "functional": "GGA+U",
  "state": "optimized geometry",
  "final_energy_ev_per_atom": -6.8222,
  "n_ef_per_ev_cell": 2.65,
  "lattice_angstrom": [[4.704, 0.006, -0.003], [0.046, 4.699, -0.005], [0.004, 0.007, 6.574]],
  "species": ["O", "Ga", "O", "O", "Sm", "O", "Ga", "O", "O", "O", "O", "W"],
  "fractional_positions": [[0.665, 0.666, 0.500], [0.500, 0.500, 0.765], [0.798, 0.203, 0.788], [0.298, 0.297, 0.000], [0.000, 0.000, 0.500], [0.798, 0.203, 0.212], [0.500, 0.500, 0.235], [0.702, 0.703, 0.000], [0.202, 0.797, 0.788], [0.202, 0.797, 0.212], [0.335, 0.334, 0.500], [0.000, 0.000, 0.000]]
}